Below is crystalline ZrCuRu3 at its relaxed geometry, with properties calculated at the PBE-GGA level.

DFT formation energy (kJ/mol of formula units): 480.5
Energy relative to the lowest polymorph listed for this composition (meV/atom): 0

Cell and atoms, written as CIF:
```
data_ZrCuRu3
_cell_length_a 4.444
_cell_length_b 4.444
_cell_length_c 4.444
_cell_angle_alpha 90.00
_cell_angle_beta 90.00
_cell_angle_gamma 90.00
_space_group_name_H-M_alt 'P m -3 m'
_space_group_IT_number 221
_space_group_name_Hall '-P 4 2 3'
loop_
_atom_site_label
_atom_site_type_symbol
_atom_site_fract_x
_atom_site_fract_y
_atom_site_fract_z
Zr1 Zr 0.000 0.000 0.000
Cu1 Cu 0.500 0.500 0.500
Ru1 Ru 0.000 0.500 0.500
```



Below is crystalline ZrCuRu at its relaxed geometry, with properties calculated at the PBE-GGA level.

DFT formation energy (kJ/mol of formula units): 51.6
Energy relative to the lowest polymorph listed for this composition (meV/atom): 397

Cell and atoms, written as CIF:
```
data_ZrCuRu
_cell_length_a 5.972
_cell_length_b 5.972
_cell_length_c 5.972
_cell_angle_alpha 90.00
_cell_angle_beta 90.00
_cell_angle_gamma 90.00
_space_group_name_H-M_alt 'F -4 3 m'
_space_group_IT_number 216
_space_group_name_Hall 'F -4 2 3'
loop_
_atom_site_label
_atom_site_type_symbol
_atom_site_fract_x
_atom_site_fract_y
_atom_site_fract_z
Zr1 Zr 0.000 0.000 0.000
Cu1 Cu 0.250 0.250 0.750
Ru1 Ru 0.000 0.000 0.500
```



Below is crystalline Zr6Cu5Ru at its relaxed geometry, with properties calculated at the PBE-GGA level.

DFT formation energy (kJ/mol of formula units): -234.8

Cell and atoms, written as CIF:
```
data_Zr6Cu5Ru
_cell_length_a 4.632
_cell_length_b 6.590
_cell_length_c 7.297
_cell_angle_alpha 90.00
_cell_angle_beta 108.24
_cell_angle_gamma 90.00
_space_group_name_H-M_alt 'P 1 2/m 1'
_space_group_IT_number 10
loop_
_space_group_symop_operation_xyz
'x,y,z'
'-x,-y,-z'
'-x,y,-z'
'x,-y,z'
loop_
_atom_site_label
_atom_site_type_symbol
_atom_site_fract_x
_atom_site_fract_y
_atom_site_fract_z
Zr1 Zr 0.000 0.248 0.000
Zr2 Zr 0.335 0.250 0.670
Cu1 Cu 0.165 0.500 0.329
Cu2 Cu 0.172 0.000 0.344
Cu3 Cu 0.500 0.500 0.000
Ru1 Ru 0.500 0.000 0.000
```



Below is crystalline Zr4CuRu at its relaxed geometry, with properties calculated at the PBE-GGA level.

DFT formation energy (kJ/mol of formula units): -102.6
Energy relative to the lowest polymorph listed for this composition (meV/atom): 92

Cell and atoms, written as CIF:
```
data_Zr4CuRu
_cell_length_a 5.999
_cell_length_b 5.557
_cell_length_c 7.177
_cell_angle_alpha 90.00
_cell_angle_beta 90.00
_cell_angle_gamma 90.00
_space_group_name_H-M_alt 'P m n a'
_space_group_IT_number 53
loop_
_space_group_symop_operation_xyz
'x,y,z'
'-x,-y,-z'
'-x+1/2,-y,z+1/2'
'x+1/2,y,-z+1/2'
'x,-y,-z'
'-x,y,z'
'-x+1/2,y,-z+1/2'
'x+1/2,-y,z+1/2'
loop_
_atom_site_label
_atom_site_type_symbol
_atom_site_fract_x
_atom_site_fract_y
_atom_site_fract_z
Zr1 Zr 0.000 0.233 0.142
Zr2 Zr 0.250 0.245 0.750
Cu1 Cu 0.000 0.500 0.500
Ru1 Ru 0.000 0.000 0.500
```



Below is crystalline Zr4CuRu at its relaxed geometry, with properties calculated at the PBE-GGA level.

DFT formation energy (kJ/mol of formula units): -156.2
Energy relative to the lowest polymorph listed for this composition (meV/atom): 0

Cell and atoms, written as CIF:
```
data_Zr4CuRu
_cell_length_a 3.266
_cell_length_b 3.266
_cell_length_c 10.997
_cell_angle_alpha 90.00
_cell_angle_beta 90.00
_cell_angle_gamma 90.00
_space_group_name_H-M_alt 'P 4/m m m'
_space_group_IT_number 123
_space_group_name_Hall '-P 4 2'
loop_
_atom_site_label
_atom_site_type_symbol
_atom_site_fract_x
_atom_site_fract_y
_atom_site_fract_z
Zr1 Zr 0.000 0.000 0.149
Zr2 Zr 0.500 0.500 0.341
Cu1 Cu 0.000 0.000 0.500
Ru1 Ru 0.500 0.500 0.000
```



Below is crystalline Zr2CuRu at its relaxed geometry, with properties calculated at the PBE-GGA level.

DFT formation energy (kJ/mol of formula units): -74.2

Cell and atoms, written as CIF:
```
data_Zr2CuRu
_cell_length_a 3.322
_cell_length_b 4.470
_cell_length_c 9.644
_cell_angle_alpha 90.00
_cell_angle_beta 90.00
_cell_angle_gamma 90.00
_space_group_name_H-M_alt 'I m m 2'
_space_group_IT_number 44
loop_
_space_group_symop_operation_xyz
'x,y,z'
'-x,-y,z'
'-x,y,z'
'x,-y,z'
'x+1/2,y+1/2,z+1/2'
'-x+1/2,-y+1/2,z+1/2'
'-x+1/2,y+1/2,z+1/2'
'x+1/2,-y+1/2,z+1/2'
loop_
_atom_site_label
_atom_site_type_symbol
_atom_site_fract_x
_atom_site_fract_y
_atom_site_fract_z
Zr1 Zr 0.000 0.000 0.000
Zr2 Zr 0.000 0.500 0.229
Cu1 Cu 0.000 0.000 0.456
Ru1 Ru 0.000 0.500 0.732
```



Below is crystalline CuS at its relaxed geometry, with properties calculated at the PBE-GGA level.

Formation energy without anion corrections (eV/f.u.): -0.28

Cell and atoms, written as CIF:
```
data_CuS
_cell_length_a 5.261
_cell_length_b 4.628
_cell_length_c 5.884
_cell_angle_alpha 90.00
_cell_angle_beta 103.90
_cell_angle_gamma 90.00
_space_group_name_H-M_alt 'C 1 2/c 1'
_space_group_IT_number 15
loop_
_space_group_symop_operation_xyz
'x,y,z'
'-x,-y,-z'
'-x,y,-z+1/2'
'x,-y,z+1/2'
'x+1/2,y+1/2,z'
'-x+1/2,-y+1/2,-z'
'-x+1/2,y+1/2,-z+1/2'
'x+1/2,-y+1/2,z+1/2'
loop_
_atom_site_label
_atom_site_type_symbol
_atom_site_fract_x
_atom_site_fract_y
_atom_site_fract_z
Cu1 Cu 0.250 0.250 0.000
S1 S 0.000 0.069 0.250
```



Below is crystalline CuS2 at its relaxed geometry, with properties calculated at the PBE-GGA level.

Formation energy without anion corrections (eV/f.u.): -0.28

Cell and atoms, written as CIF:
```
data_CuS2
_cell_length_a 5.814
_cell_length_b 5.814
_cell_length_c 5.814
_cell_angle_alpha 90.00
_cell_angle_beta 90.00
_cell_angle_gamma 90.00
_space_group_name_H-M_alt 'P a -3'
_space_group_IT_number 205
_space_group_name_Hall '-P 2ac 2ab 3'
loop_
_atom_site_label
_atom_site_type_symbol
_atom_site_fract_x
_atom_site_fract_y
_atom_site_fract_z
Cu1 Cu 0.000 0.000 0.000
S1 S 0.101 0.601 0.899
```



Below is crystalline CuS2 at its relaxed geometry, with properties calculated at the PBE-GGA level.

Formation energy without anion corrections (eV/f.u.): 1.24

Cell and atoms, written as CIF:
```
data_CuS2
_cell_length_a 3.645
_cell_length_b 3.645
_cell_length_c 3.786
_cell_angle_alpha 90.00
_cell_angle_beta 90.00
_cell_angle_gamma 90.00
_space_group_name_H-M_alt 'P -4 m 2'
_space_group_IT_number 115
loop_
_space_group_symop_operation_xyz
'x,y,z'
'y,-x,-z'
'-x,-y,z'
'-y,x,-z'
'-x,y,z'
'-y,-x,-z'
'x,-y,z'
'y,x,-z'
loop_
_atom_site_label
_atom_site_type_symbol
_atom_site_fract_x
_atom_site_fract_y
_atom_site_fract_z
Cu1 Cu 0.000 0.000 0.000
S1 S 0.000 0.500 0.398
```



Below is crystalline CuS at its relaxed geometry, with properties calculated at the PBE-GGA level.

Formation energy without anion corrections (eV/f.u.): -0.29

Cell and atoms, written as CIF:
```
data_CuS
_cell_length_a 6.241
_cell_length_b 6.241
_cell_length_c 3.764
_cell_angle_alpha 90.00
_cell_angle_beta 90.00
_cell_angle_gamma 90.00
_space_group_name_H-M_alt 'P 42/m n m'
_space_group_IT_number 136
_space_group_name_Hall '-P 4n 2n'
loop_
_atom_site_label
_atom_site_type_symbol
_atom_site_fract_x
_atom_site_fract_y
_atom_site_fract_z
Cu1 Cu 0.153 0.153 0.000
S1 S 0.207 0.793 0.000
```



Below is crystalline Cu9S5 at its relaxed geometry, with properties calculated at the PBE-GGA level.

Energy relative to the lowest polymorph listed for this composition (meV/atom): 4
Formation energy without anion corrections (eV/f.u.): -1.43

Cell and atoms, written as CIF:
```
data_Cu9S5
_cell_length_a 5.759
_cell_length_b 6.390
_cell_length_c 7.082
_cell_angle_alpha 72.22
_cell_angle_beta 66.05
_cell_angle_gamma 63.25
_space_group_name_H-M_alt 'P 1'
_space_group_IT_number 1
loop_
_space_group_symop_operation_xyz
'x,y,z'
loop_
_atom_site_label
_atom_site_type_symbol
_atom_site_fract_x
_atom_site_fract_y
_atom_site_fract_z
Cu1 Cu 0.000 0.000 0.000
Cu2 Cu 0.012 0.890 0.381
Cu3 Cu 0.182 0.469 0.646
Cu4 Cu 0.394 0.318 0.143
Cu5 Cu 0.448 0.015 0.725
Cu6 Cu 0.539 0.634 0.286
Cu7 Cu 0.726 0.619 0.563
Cu8 Cu 0.823 0.744 0.906
Cu9 Cu 0.838 0.166 0.640
S1 S 0.226 0.817 0.644
S2 S 0.374 0.997 0.073
S3 S 0.582 0.243 0.418
S4 S 0.783 0.391 0.869
S5 S 0.983 0.638 0.214
```



Below is crystalline Cu3S2 at its relaxed geometry, with properties calculated at the PBE-GGA level.

Formation energy without anion corrections (eV/f.u.): -0.81

Cell and atoms, written as CIF:
```
data_Cu3S2
_cell_length_a 6.849
_cell_length_b 3.759
_cell_length_c 6.689
_cell_angle_alpha 90.00
_cell_angle_beta 106.83
_cell_angle_gamma 90.00
_space_group_name_H-M_alt 'C 1 m 1'
_space_group_IT_number 8
loop_
_space_group_symop_operation_xyz
'x,y,z'
'x,-y,z'
'x+1/2,y+1/2,z'
'x+1/2,-y+1/2,z'
loop_
_atom_site_label
_atom_site_type_symbol
_atom_site_fract_x
_atom_site_fract_y
_atom_site_fract_z
Cu1 Cu 0.000 0.000 0.000
Cu2 Cu 0.015 0.500 0.399
Cu3 Cu 0.127 0.000 0.674
S1 S 0.155 0.500 0.871
S2 S 0.173 0.000 0.347
```



Below is crystalline CuS3 at its relaxed geometry, with properties calculated at the PBE-GGA level.

Formation energy without anion corrections (eV/f.u.): 0.36

Cell and atoms, written as CIF:
```
data_CuS3
_cell_length_a 4.121
_cell_length_b 4.606
_cell_length_c 9.799
_cell_angle_alpha 76.52
_cell_angle_beta 84.83
_cell_angle_gamma 87.73
_space_group_name_H-M_alt 'P -1'
_space_group_IT_number 2
loop_
_space_group_symop_operation_xyz
'x,y,z'
'-x,-y,-z'
loop_
_atom_site_label
_atom_site_type_symbol
_atom_site_fract_x
_atom_site_fract_y
_atom_site_fract_z
Cu1 Cu 0.232 0.210 0.082
S1 S 0.183 0.705 0.606
S2 S 0.201 0.083 0.341
S3 S 0.249 0.740 0.022
```



Below is crystalline Cu9S5 at its relaxed geometry, with properties calculated at the PBE-GGA level.

Energy relative to the lowest polymorph listed for this composition (meV/atom): 0
Formation energy without anion corrections (eV/f.u.): -1.49

Cell and atoms, written as CIF:
```
data_Cu9S5
_cell_length_a 6.755
_cell_length_b 7.767
_cell_length_c 8.760
_cell_angle_alpha 77.28
_cell_angle_beta 74.94
_cell_angle_gamma 73.39
_space_group_name_H-M_alt 'P -1'
_space_group_IT_number 2
loop_
_space_group_symop_operation_xyz
'x,y,z'
'-x,-y,-z'
loop_
_atom_site_label
_atom_site_type_symbol
_atom_site_fract_x
_atom_site_fract_y
_atom_site_fract_z
Cu1 Cu 0.038 0.461 0.150
Cu2 Cu 0.041 0.945 0.152
Cu3 Cu 0.145 0.855 0.447
Cu4 Cu 0.153 0.348 0.458
Cu5 Cu 0.262 0.742 0.729
Cu6 Cu 0.340 0.657 0.027
Cu7 Cu 0.348 0.150 0.043
Cu8 Cu 0.437 0.567 0.336
Cu9 Cu 0.461 0.043 0.351
S1 S 0.095 0.650 0.299
S2 S 0.103 0.153 0.297
S3 S 0.300 0.953 0.897
S4 S 0.301 0.444 0.899
S5 S 0.494 0.254 0.507
```



Below is crystalline CuS at its relaxed geometry, with properties calculated at the PBE-GGA level.

Formation energy without anion corrections (eV/f.u.): -0.33

Cell and atoms, written as CIF:
```
data_CuS
_cell_length_a 3.6377
_cell_length_b 3.6377
_cell_length_c 6.1879
_cell_angle_alpha 90.00
_cell_angle_beta 90.00
_cell_angle_gamma 120.00
_space_group_name_H-M_alt 'P 63 m c'
_space_group_IT_number 186
_space_group_name_Hall 'P 6c -2c'
loop_
_atom_site_label
_atom_site_type_symbol
_atom_site_fract_x
_atom_site_fract_y
_atom_site_fract_z
Cu1 Cu 0.3333 0.6667 0.0000
S1 S 0.3333 0.6667 0.6360
```



Below is crystalline Cu2S at its relaxed geometry, with properties calculated at the PBE-GGA level.

Formation energy without anion corrections (eV/f.u.): 0.29

Cell and atoms, written as CIF:
```
data_Cu2S
_cell_length_a 4.2660
_cell_length_b 4.2660
_cell_length_c 5.3492
_cell_angle_alpha 90.00
_cell_angle_beta 90.00
_cell_angle_gamma 120.00
_space_group_name_H-M_alt 'P 63/m m c'
_space_group_IT_number 194
_space_group_name_Hall '-P 6c 2c'
loop_
_atom_site_label
_atom_site_type_symbol
_atom_site_fract_x
_atom_site_fract_y
_atom_site_fract_z
Cu1 Cu 0.0000 0.0000 0.2500
Cu2 Cu 0.3333 0.6667 0.2500
S1 S 0.3333 0.6667 0.7500
```



Below is crystalline CuS at its relaxed geometry, with properties calculated at the PBE-GGA level.

Formation energy without anion corrections (eV/f.u.): -0.08

Cell and atoms, written as CIF:
```
data_CuS
_cell_length_a 7.658
_cell_length_b 8.778
_cell_length_c 10.194
_cell_angle_alpha 90.00
_cell_angle_beta 90.00
_cell_angle_gamma 90.00
_space_group_name_H-M_alt 'F d d d'
_space_group_IT_number 70
loop_
_space_group_symop_operation_xyz
'x,y,z'
'-x,-y,-z'
'-x+1/4,-y+1/4,z'
'x+1/4,y+1/4,-z'
'x,-y+1/4,-z+1/4'
'-x,y+1/4,z+1/4'
'-x+1/4,y,-z+1/4'
'x+1/4,-y,z+1/4'
'x,y+1/2,z+1/2'
'-x,-y+1/2,-z+1/2'
'-x+1/4,-y+3/4,z+1/2'
'x+1/4,y+3/4,-z+1/2'
'x,-y+3/4,-z+3/4'
'-x,y+3/4,z+3/4'
'-x+1/4,y+1/2,-z+3/4'
'x+1/4,-y+1/2,z+3/4'
'x+1/2,y,z+1/2'
'-x+1/2,-y,-z+1/2'
'-x+3/4,-y+1/4,z+1/2'
'x+3/4,y+1/4,-z+1/2'
'x+1/2,-y+1/4,-z+3/4'
'-x+1/2,y+1/4,z+3/4'
'-x+3/4,y,-z+3/4'
'x+3/4,-y,z+3/4'
'x+1/2,y+1/2,z'
'-x+1/2,-y+1/2,-z'
'-x+3/4,-y+3/4,z'
'x+3/4,y+3/4,-z'
'x+1/2,-y+3/4,-z+1/4'
'-x+1/2,y+3/4,z+1/4'
'-x+3/4,y+1/2,-z+1/4'
'x+3/4,-y+1/2,z+1/4'
loop_
_atom_site_label
_atom_site_type_symbol
_atom_site_fract_x
_atom_site_fract_y
_atom_site_fract_z
Cu1 Cu 0.125 0.125 0.263
S1 S 0.125 0.330 0.125
```



Below is crystalline CuS at its relaxed geometry, with properties calculated at the PBE-GGA level.

Formation energy without anion corrections (eV/f.u.): 0.09

Cell and atoms, written as CIF:
```
data_CuS
_cell_length_a 2.783
_cell_length_b 3.945
_cell_length_c 6.758
_cell_angle_alpha 90.00
_cell_angle_beta 100.73
_cell_angle_gamma 90.00
_space_group_name_H-M_alt 'P 1 21/m 1'
_space_group_IT_number 11
loop_
_space_group_symop_operation_xyz
'x,y,z'
'-x,-y,-z'
'-x,y+1/2,-z'
'x,-y+1/2,z'
loop_
_atom_site_label
_atom_site_type_symbol
_atom_site_fract_x
_atom_site_fract_y
_atom_site_fract_z
Cu1 Cu 0.046 0.250 0.108
S1 S 0.116 0.750 0.262
```



Below is crystalline CuS at its relaxed geometry, with properties calculated at the PBE-GGA level.

Formation energy without anion corrections (eV/f.u.): -0.13

Cell and atoms, written as CIF:
```
data_CuS
_cell_length_a 6.628
_cell_length_b 6.670
_cell_length_c 6.844
_cell_angle_alpha 90.00
_cell_angle_beta 90.00
_cell_angle_gamma 90.00
_space_group_name_H-M_alt 'P 21 21 21'
_space_group_IT_number 19
loop_
_space_group_symop_operation_xyz
'x,y,z'
'-x+1/2,-y,z+1/2'
'x+1/2,-y+1/2,-z'
'-x,y+1/2,-z+1/2'
loop_
_atom_site_label
_atom_site_type_symbol
_atom_site_fract_x
_atom_site_fract_y
_atom_site_fract_z
Cu1 Cu 0.151 0.039 0.310
Cu2 Cu 0.220 0.411 0.042
S1 S 0.106 0.380 0.355
S2 S 0.108 0.877 0.595
```



Below is crystalline CuS at its relaxed geometry, with properties calculated at the PBE-GGA level.

Formation energy without anion corrections (eV/f.u.): -0.22

Cell and atoms, written as CIF:
```
data_CuS
_cell_length_a 10.860
_cell_length_b 3.842
_cell_length_c 4.734
_cell_angle_alpha 90.00
_cell_angle_beta 90.00
_cell_angle_gamma 90.00
_space_group_name_H-M_alt 'P m n 21'
_space_group_IT_number 31
loop_
_space_group_symop_operation_xyz
'x,y,z'
'-x+1/2,-y,z+1/2'
'-x,y,z'
'x+1/2,-y,z+1/2'
loop_
_atom_site_label
_atom_site_type_symbol
_atom_site_fract_x
_atom_site_fract_y
_atom_site_fract_z
Cu1 Cu 0.000 0.085 0.000
Cu2 Cu 0.187 0.320 0.705
S1 S 0.000 0.591 0.735
S2 S 0.185 0.156 0.218
```



no.,M_tot (Bohr magnetons per cell)
1,0.0
2,0.0
3,0.0
4,0.0
5,0.0
6,0.0
7,0.0
8,0.0
9,0.0
10,0.0
11,0.0
12,0.0
13,0.0
14,0.0
15,0.0
16,0.0
17,0.0
18,0.0
19,0.0
20,0.0